First-principles (GGA+U) data for a relaxed structure of Y2FeNF, as listed in the Alexandria database.

```
Y2FeNF
1.0
-4.011 -1.497 2.225
0.304 -3.342 -1.700
2.653 -1.632 3.685
F Fe Y N
1 1 2 1
Direct
0.000 0.500 0.000
0.000 0.000 0.000
0.000 0.000 0.500
0.500 0.000 0.000
0.500 0.500 0.500
```

Output
V   87.58 Å³ per cell
Total DFT energy (no corrections)   -26.9 eV per cell
Space group   P4/mmm, No. 123
ρ   5.056 Mg/m³